Record 1
Computed, not measured: a geometry-optimized NdSm4HoTm2 structure at the PBE level of DFT.

Calculated values
SG: No. 10
theoretical density: 7.957 g cm⁻³
DOS at the Fermi energy: 11.1 states/eV/f.u.
DFT formation energy: 0.018 eV/atom
DFT total energy: -37.0 eV per formula unit

Unit cell a=5.0878 b=5.0698 c=11.3056 alpha=63.30 beta=90.00 gamma=90.00
With the nearest neighbours (Å) after each atom.
Element x y z (fractional)
Sm 0.5000 0.2478 0.7522  2 Ho 3.56, 4 Tm 3.57-3.60, 4 Sm 3.59, 2 Nd 3.60
Sm 0.0000 0.7469 0.7529  4 Tm 3.55-3.61, 2 Ho 3.56, 4 Sm 3.59, 2 Nd 3.60
Sm 0.5000 0.7522 0.2478  2 Ho 3.56, 4 Tm 3.57-3.60, 4 Sm 3.59, 2 Nd 3.60
Sm 0.0000 0.2531 0.2471  4 Tm 3.55-3.61, 2 Ho 3.56, 4 Sm 3.59, 2 Nd 3.60
Tm 0.0000 0.0000 0.0000  8 Sm 3.55-3.57, 4 Ho 3.59
Tm 0.5000 0.0000 0.5000  4 Nd 3.59, 8 Sm 3.59-3.61
Ho 0.5000 0.5000 0.0000  8 Sm 3.56, 4 Tm 3.59
Nd 0.0000 0.5000 0.5000  4 Tm 3.59, 8 Sm 3.60

---

Record 2
Computed, not measured: a geometry-optimized Nd4SmHo2Tm structure at the PBE level of DFT.

Calculated values
SG: No. 47
theoretical density: 7.657 g cm⁻³
DOS at the Fermi energy: 10.8 states/eV/f.u.
DFT formation energy: 0.015 eV/atom
DFT total energy: -37.3 eV per formula unit

Unit cell a=5.1433 b=5.1168 c=11.3263 alpha=63.13 beta=90.00 gamma=90.00
With the nearest neighbours (Å) after each atom.
Element x y z (fractional)
Ho 0.5000 0.0000 0.5000  8 Nd 3.58-3.59, 4 Tm 3.63
Ho 0.0000 0.0000 0.0000  8 Nd 3.61-3.62, 4 Sm 3.63
Nd 0.0000 0.7525 0.7479  2 Tm 3.58, 4 Ho 3.59-3.61, 2 Sm 3.62, 4 Nd 3.63
Nd 0.5000 0.7471 0.2524  4 Ho 3.58-3.62, 2 Tm 3.59, 2 Sm 3.61, 4 Nd 3.63
Nd 0.5000 0.2529 0.7476  4 Ho 3.58-3.62, 2 Tm 3.59, 2 Sm 3.61, 4 Nd 3.63
Nd 0.0000 0.2475 0.2521  2 Tm 3.58, 4 Ho 3.59-3.61, 2 Sm 3.62, 4 Nd 3.63
Sm 0.5000 0.5000 0.0000  8 Nd 3.61-3.62, 4 Ho 3.63
Tm 0.0000 0.5000 0.5000  8 Nd 3.58-3.59, 4 Ho 3.63

---

Record 3
Computed, not measured: a geometry-optimized NdSm2HoTm2 structure at the PBE level of DFT.

Calculated values
SG: No. 58
theoretical density: 8.160 g cm⁻³
DOS at the Fermi energy: 9.5 states/eV/f.u.
DFT formation energy: 0.069 eV/atom
DFT total energy: -27.3 eV per formula unit

Unit cell a=5.6346 b=9.7948 c=6.9891 alpha=90.00 beta=90.00 gamma=90.00
With the nearest neighbours (Å) after each atom.
Element x y z (fractional)
Sm 0.0000 0.6666 0.7523  5 Tm 3.26-3.51
Sm 0.5000 0.1666 0.7477  5 Tm 3.26-3.51
Sm 0.5000 0.8334 0.2523  5 Tm 3.26-3.51
Sm 0.0000 0.3334 0.2477  5 Tm 3.26-3.51
Nd 0.0000 0.0000 0.0000  2 Ho 3.49, 6 Tm 3.70, 6 Sm 3.70
Nd 0.5000 0.5000 0.5000  2 Ho 3.49, 6 Tm 3.70, 6 Sm 3.70
Ho 0.5000 0.5000 0.0000  2 Nd 3.49, 6 Sm 3.69-3.71, 6 Tm 3.70
Ho 0.0000 0.0000 0.5000  2 Nd 3.49, 6 Sm 3.69-3.71, 6 Tm 3.70
Tm 0.0000 0.6667 0.2499  5 Sm 3.26-3.51
Tm 0.5000 0.8333 0.7499  5 Sm 3.26-3.51
Tm 0.5000 0.1667 0.2501  5 Sm 3.26-3.51
Tm 0.0000 0.3333 0.7501  5 Sm 3.26-3.51

---

Among the records above, which one has the highest DFT formation energy?
NdSm2HoTm2

---

Among the records above, which one has the highest DFT formation energy?
NdSm2HoTm2